TbBRh6 | PBE | optimized geometry

* formation enthalpy at 0 K: -0.2117 eV/atom
* ρ: 10.19 g cm⁻³

abc: 5.598 5.598 5.726
angles: 60.74 60.74 60.00
Positions (direct):
Tb (0.500, 0.500, 0.500)
B (0.000, 0.000, 0.000)
Rh (0.901, 0.901, 0.764)
Rh (0.434, 0.901, 0.764)
Rh (0.099, 0.566, 0.236)
Rh (0.566, 0.099, 0.236)
Rh (0.099, 0.099, 0.236)
Rh (0.901, 0.434, 0.764)

=====

BaPa3Se8 | PBE | optimized geometry

* formation energy (no corrections): -127.3 kJ/mol of atoms
* ρ: 6.55 g cm⁻³

abc: 7.198 7.198 8.257
angles: 90.00 90.00 120.00
Positions (direct):
Ba (0.000, 0.000, 0.500)
Pa (0.667, 0.333, 0.904)
Pa (0.333, 0.667, 0.096)
Pa (0.000, 0.000, 0.000)
Se (0.713, 0.072, 0.174)
Se (0.359, 0.287, 0.174)
Se (0.928, 0.641, 0.174)
Se (0.287, 0.928, 0.826)
Se (0.641, 0.713, 0.826)
Se (0.072, 0.359, 0.826)
Se (0.667, 0.333, 0.585)
Se (0.333, 0.667, 0.415)